Entry 1:
This record from Alexandria describes a PBEsol-optimized structure of BaMnS3. The functional is meta-GGA SCAN.

Cell lengths 4.679, 4.679, 4.679 Å; angles 90.00, 90.00, 90.00 degrees
Element x y z (fractional)
Ba  0.000  0.000  0.000
Mn  0.500  0.500  0.500
S  0.000  0.500  0.500
S  0.500  0.000  0.500
S  0.500  0.500  0.000

## Properties
**D(E_F)**: 0.483 states/eV per atom
**SG**: No. 221
**Uncorrected formation energy**: -1.35 eV per atom


Entry 2:
This record from Alexandria describes a PBEsol-optimized structure of Mo2Se. The functional is meta-GGA SCAN.

Cell lengths 5.556, 5.556, 5.761 Å; angles 101.42, 101.42, 32.42 degrees
Element x y z (fractional)
Mo  0.030  0.030  0.298
Mo  0.313  0.313  0.355
Mo  0.687  0.687  0.645
Mo  0.970  0.970  0.702
Se  0.354  0.354  0.925
Se  0.646  0.646  0.075

## Properties
**D(E_F)**: 0.502 states/eV per atom
**SG**: No. 12
**Uncorrected formation energy**: 0.04 eV per atom
**Distance to the lowest polymorph of the same formula**: 0.0 meV/atom


Entry 3:
This record from Alexandria describes a PBEsol-optimized structure of TlZnRu2. The functional is meta-GGA SCAN.

Cell lengths 2.843, 2.843, 8.081 Å; angles 90.00, 90.00, 90.00 degrees
Element x y z (fractional)
Tl  0.000  0.000  0.000
Zn  0.500  0.500  0.318
Ru  0.000  0.000  0.532
Ru  0.500  0.500  0.727

## Properties
**D(E_F)**: 0.679 states/eV per atom
**SG**: No. 99
**Distance to the lowest polymorph of the same formula**: 0.0 meV/atom
**Formation energy from the elements**: 0.261 eV/atom


> What is the D(E_F) in the first record?

0.483 states/eV per atom


> Which formula does entry 2 have?

Mo2Se